No. 1
Material: CuGe2Ru2
Method: DFT, GGA-PBE
State: optimized geometry

Properties
Relative energy among the computed polymorphs   331.8 meV/atom
Calculated density   8.69 g/cm3
E_form   0.228 eV per atom
VASP energy   -30.74 eV per cell

abc: 3.614 3.614 6.531
angles: 73.94 73.94 90.00
Sites, in units of the cell vectors:
1 Ru 0.394 0.394 0.211
2 Ru 0.606 0.606 0.789
3 Ge 0.750 0.250 0.500
4 Ge 0.250 0.750 0.500
5 Cu 0.000 0.000 0.000


No. 2
Material: Cu3GeRu
Method: DFT, GGA-PBE
State: optimized geometry

Properties
Relative energy among the computed polymorphs   241.1 meV/atom
Calculated density   6.30 g/cm3
E_form   1.262 eV per atom
VASP energy   -19.87 eV per cell

abc: 4.579 4.579 4.579
angles: 90.00 90.00 90.00
Sites, in units of the cell vectors:
1 Ru 0.000 0.000 0.000
2 Ge 0.500 0.500 0.500
3 Cu 0.000 0.500 0.000
4 Cu 0.000 0.000 0.500
5 Cu 0.500 0.000 0.000


No. 3
Material: Cu3GeRu
Method: DFT, GGA-PBE
State: optimized geometry

Properties
Relative energy among the computed polymorphs   0.0 meV/atom
Calculated density   7.21 g/cm3
E_form   1.021 eV per atom
VASP energy   -21.08 eV per cell

abc: 4.378 4.378 4.378
angles: 90.00 90.00 90.00
Site moments in Bohr magnetons follow the coordinates.
Sites, in units of the cell vectors:
1 Ru 0.500 0.500 0.500  1.65
2 Ge 0.000 0.000 0.000  0.01
3 Cu 0.000 0.500 0.000  -0.01
4 Cu 0.000 0.000 0.500  -0.01
5 Cu 0.500 0.000 0.000  -0.01


No. 4
Material: Cu2Ge2Ru
Method: DFT, GGA-PBE
State: optimized geometry

Properties
Calculated density   8.57 g/cm3
E_form   0.082 eV per atom
VASP energy   -52.59 eV per cell

abc: 6.583 6.583 3.339
angles: 90.00 90.00 90.00
Sites, in units of the cell vectors:
1 Ru 0.000 0.000 0.000
2 Ru 0.500 0.500 0.000
3 Ge 0.345 0.845 0.000
4 Ge 0.845 0.655 0.000
5 Ge 0.655 0.155 0.000
6 Ge 0.155 0.345 0.000
7 Cu 0.142 0.642 0.500
8 Cu 0.642 0.858 0.500
9 Cu 0.858 0.358 0.500
10 Cu 0.358 0.142 0.500